Below is a geometry-optimized Dy6Tl5Ru structure, with properties calculated at the PBE level.

Cell: 5.3046 7.5356 9.0916 Å, 114.49 106.97 89.98°
Element x y z (fractional)
1 Dy 0.8470 0.6166 0.6942
2 Tl 0.6814 0.1814 0.3627
3 Dy 0.1528 0.9224 0.3058
4 Dy 0.4995 0.7757 0.0000
5 Dy 0.8472 0.0776 0.6942
6 Tl 0.6643 0.6643 0.3287
7 Ru 0.0000 0.0000 0.0000
8 Dy 0.5005 0.2243 0.0000
9 Dy 0.1530 0.3834 0.3058
10 Tl 0.3186 0.8186 0.6373
11 Tl 0.0000 0.5000 0.0000
12 Tl 0.3357 0.3357 0.6713

- Volume: 313.27 Å³ per cell
- Space group: Immm, No. 71
- E_tot: -4.405 eV per atom
- D(E_F): 6.3 states/eV/f.u.